DFT (PBE-GGA) results for a relaxed structure of PuTa2Fe.

Values from the calculation:
ΔH_f (0 K) (meV per atom): 144.2
Calculated volume (Å³/cell): 71
Total magnetic moment (μB/f.u.): 5.49
DOS(E_F) (states/eV per cell): 6.04

a = 3.063 Å, b = 3.063 Å, c = 7.567 Å
α = 90.00°, β = 90.00°, γ = 90.00°
Last column: magnetic moment on the atom in μB.
Sites, in units of the cell vectors:
Ta 0.000 0.000 0.799  -0.17
Fe 0.500 0.500 0.000  0.98
Ta 0.000 0.000 0.201  -0.17
Pu 0.500 0.500 0.500  4.80